Density functional theory data (SCAN) for a crystal of SrCaP2O relaxed with PBEsol.

Computed properties:
D(E_F), states/eV per cell: 2.829
E_form (uncorrected), meV/atom: -97.7
Total DFT energy (no corrections), eV/atom: -11.891
ρ, g/cm3: 2.66
M_tot, Bohr magnetons per cell: 2.051

Cell lengths 5.376, 5.376, 4.439 Å; angles 90.00, 90.00, 90.00 degrees
Space group P4/mmm (No. 123)
Asymmetric unit:
Sr  0.000  0.000  0.000 x1
Ca  0.500  0.500  0.500 x1
P  0.000  0.500  0.000 x2
O  0.000  0.000  0.500 x1